Record 1
Material: Be4PtAu
Method: DFT, SCAN
State: PBEsol geometry Values from VASP.

Its density of states at the Fermi level is 0.251 states/eV/atom. As for the space-group type: F-43m. The value obtained for the total energy is -159.4 eV for the cell shown. The calculation puts the calculated formation energy at -0.43 eV per atom.

Geometry as Quantum ESPRESSO input:
```
&SYSTEM
  ibrav = 0, nat = 6, ntyp = 3
/
ATOMIC_SPECIES
Be 9.01 Be.upf
Pt 195.08 Pt.upf
Au 196.97 Au.upf
CELL_PARAMETERS angstrom
4.4466 0.0000 0.0000
2.2233 3.8509 0.0000
2.2233 1.2836 3.6306
ATOMIC_POSITIONS crystal
Be 0.8748 0.3751 0.3751
Be 0.3751 0.8748 0.3751
Be 0.3751 0.3751 0.3751
Be 0.3751 0.3751 0.8748
Pt 0.7500 0.7500 0.7500
Au 0.0000 0.0000 0.0000
```

=====

Record 2
Material: Sc3CoN
Method: DFT, SCAN
State: PBEsol geometry Values from VASP.

Its density of states at the Fermi level is 0.955 states/eV/atom. As for the space-group type: Pm-3m. For the formation energy without anion corrections, the calculation gives 672 meV/atom. The value obtained for the total energy is -65.9 eV for the cell shown.

Geometry as Quantum ESPRESSO input:
```
&SYSTEM
  ibrav = 0, nat = 5, ntyp = 3
/
ATOMIC_SPECIES
N 14.01 N.upf
Sc 44.96 Sc.upf
Co 58.93 Co.upf
CELL_PARAMETERS angstrom
-3.0986 3.2445 1.0617
-2.2897 -3.0387 2.6035
2.5320 1.2225 3.6537
ATOMIC_POSITIONS crystal
N 0.5000 0.5000 0.5000
Sc 0.0000 0.0000 0.5000
Sc 0.5000 0.0000 0.0000
Sc 0.0000 0.5000 0.0000
Co 0.0000 0.0000 0.0000
```

=====

Record 3
Material: OsRh2Br
Method: DFT, SCAN
State: PBEsol geometry Values from VASP.

Its density of states at the Fermi level is 0.960 states/eV/atom. As for the space-group type: P4/mmm. For the formation energy without anion corrections, the calculation gives 528 meV/atom. The value obtained for the total energy is -156.8 eV for the cell shown.

Geometry as Quantum ESPRESSO input:
```
&SYSTEM
  ibrav = 0, nat = 4, ntyp = 3
/
ATOMIC_SPECIES
Rh 102.91 Rh.upf
Os 190.23 Os.upf
Br 79.90 Br.upf
CELL_PARAMETERS angstrom
2.7950 0.0000 0.0000
0.0000 2.7949 0.0000
0.0000 0.0000 7.7395
ATOMIC_POSITIONS crystal
Rh 0.0000 0.0000 0.2712
Rh 0.0000 0.0000 0.7288
Os 0.5000 0.5000 0.5000
Br 0.5000 0.5000 0.0000
```

=====

Record 4
Material: NiO
Method: DFT, SCAN
State: PBEsol geometry Values from VASP.

As for the space-group type: Fm-3m. For the formation energy without anion corrections, the calculation gives -1220 meV/atom. The value obtained for the total energy is -24.8 eV for the cell shown.

Geometry as Quantum ESPRESSO input:
```
&SYSTEM
  ibrav = 0, nat = 2, ntyp = 2
/
ATOMIC_SPECIES
O 16.00 O.upf
Ni 58.69 Ni.upf
CELL_PARAMETERS angstrom
2.8993 0.0000 0.0000
1.4497 2.5109 0.0000
1.4497 0.8370 2.3673
ATOMIC_POSITIONS crystal
O 0.5000 0.5000 0.5000
Ni 0.0000 0.0000 0.0000
```

=====

Record 5
Material: LiNb3Ga
Method: DFT, SCAN
State: PBEsol geometry Values from VASP.

Its density of states at the Fermi level is 1.538 states/eV/atom. As for the space-group type: Pm-3m. The value obtained for the total energy is -112.4 eV for the cell shown. The calculation puts the calculated formation energy at 1.15 eV per atom.

Geometry as Quantum ESPRESSO input:
```
&SYSTEM
  ibrav = 0, nat = 5, ntyp = 3
/
ATOMIC_SPECIES
Nb 92.91 Nb.upf
Ga 69.72 Ga.upf
Li 6.94 Li.upf
CELL_PARAMETERS angstrom
4.7671 0.0000 0.0000
0.0000 4.7671 0.0000
0.0000 0.0000 4.7671
ATOMIC_POSITIONS crystal
Nb 0.5000 0.0000 0.0000
Nb 0.0000 0.5000 0.0000
Nb 0.0000 0.0000 0.5000
Ga 0.0000 0.0000 0.0000
Li 0.5000 0.5000 0.5000
```

=====

Record 6
Material: BaPdSe2Br
Method: DFT, SCAN
State: PBEsol geometry Values from VASP.

Its density of states at the Fermi level is 0.581 states/eV/atom. As for the space-group type: P4/mmm. For the formation energy without anion corrections, the calculation gives -1096 meV/atom. The value obtained for the total energy is -137.4 eV for the cell shown.

Geometry as Quantum ESPRESSO input:
```
&SYSTEM
  ibrav = 0, nat = 5, ntyp = 4
/
ATOMIC_SPECIES
Pd 106.42 Pd.upf
Ba 137.33 Ba.upf
Se 78.96 Se.upf
Br 79.90 Br.upf
CELL_PARAMETERS angstrom
-0.0232 -2.7121 -4.1957
4.5670 -1.7125 1.0817
-2.0782 -3.9302 2.5520
ATOMIC_POSITIONS crystal
Pd 0.0000 0.0000 0.0000
Ba 0.5000 0.5000 0.5000
Se 0.5000 0.0000 0.0000
Se 0.0000 0.5000 0.0000
Br 0.0000 0.0000 0.5000
```

=====

Copy entry 6 word for word.
Material: BaPdSe2Br
Method: DFT, SCAN
State: PBEsol geometry Values from VASP.

Its density of states at the Fermi level is 0.581 states/eV/atom. As for the space-group type: P4/mmm. For the formation energy without anion corrections, the calculation gives -1096 meV/atom. The value obtained for the total energy is -137.4 eV for the cell shown.

Geometry as Quantum ESPRESSO input:
```
&SYSTEM
  ibrav = 0, nat = 5, ntyp = 4
/
ATOMIC_SPECIES
Pd 106.42 Pd.upf
Ba 137.33 Ba.upf
Se 78.96 Se.upf
Br 79.90 Br.upf
CELL_PARAMETERS angstrom
-0.0232 -2.7121 -4.1957
4.5670 -1.7125 1.0817
-2.0782 -3.9302 2.5520
ATOMIC_POSITIONS crystal
Pd 0.0000 0.0000 0.0000
Ba 0.5000 0.5000 0.5000
Se 0.5000 0.0000 0.0000
Se 0.0000 0.5000 0.0000
Br 0.0000 0.0000 0.5000
```